The following is a PBE calculation of a geometry-optimized ZnIn3Ru structure, from Alexandria.

Computed properties:
symmetry = Pm-3m
uncorrected energy = -13.77 eV per cell
calculated formation energy = 998 meV/atom

Cell lengths 5.048, 5.048, 5.048 Å; angles 90.00, 90.00, 90.00 degrees
Sites, in units of the cell vectors:
Zn: 0.000 0.000 0.000
In: 0.000 0.000 0.500
In: 0.000 0.500 0.000
In: 0.500 0.000 0.000
Ru: 0.500 0.500 0.500


The following is a PBE calculation of a geometry-optimized ZnInRu structure, from Alexandria.

Computed properties:
symmetry = P3m1
uncorrected energy = -12.92 eV per cell
calculated formation energy = 122 meV/atom

Cell lengths 4.321, 4.321, 3.122 Å; angles 90.00, 90.00, 120.00 degrees
Sites, in units of the cell vectors:
Zn: 0.000 0.000 0.000
In: 0.667 0.333 0.402
Ru: 0.333 0.667 0.877


The following is a PBE calculation of a geometry-optimized ZnInRu2 structure, from Alexandria.

Computed properties:
symmetry = R-3m
uncorrected energy = -64.82 eV per cell
calculated formation energy = 239 meV/atom

Cell lengths 2.927, 2.927, 25.501 Å; angles 90.00, 90.00, 120.00 degrees
Sites, in units of the cell vectors:
Zn: 0.000 0.000 0.000
Zn: 0.333 0.667 0.667
Zn: 0.667 0.333 0.333
In: 0.000 0.000 0.500
In: 0.333 0.667 0.167
In: 0.667 0.333 0.833
Ru: 0.000 0.000 0.254
Ru: 0.000 0.000 0.746
Ru: 0.333 0.667 0.413
Ru: 0.333 0.667 0.920
Ru: 0.667 0.333 0.080
Ru: 0.667 0.333 0.587


The following is a PBE calculation of a geometry-optimized ZnInRu2 structure, from Alexandria.

Computed properties:
symmetry = P4/mmm
uncorrected energy = -22.06 eV per cell
calculated formation energy = 127 meV/atom

Cell lengths 3.154, 3.154, 6.213 Å; angles 90.00, 90.00, 90.00 degrees
Sites, in units of the cell vectors:
Zn: 0.000 0.000 0.000
In: 0.000 0.000 0.500
Ru: 0.500 0.500 0.225
Ru: 0.500 0.500 0.775


The following is a PBE calculation of a geometry-optimized ZnInRu2 structure, from Alexandria.

Computed properties:
symmetry = F-43m
uncorrected energy = -86.18 eV per cell
calculated formation energy = 255 meV/atom

Cell lengths 6.316, 6.316, 6.316 Å; angles 90.00, 90.00, 90.00 degrees
Sites, in units of the cell vectors:
Zn: 0.000 0.000 0.000
Zn: 0.000 0.500 0.500
Zn: 0.500 0.000 0.500
Zn: 0.500 0.500 0.000
In: 0.250 0.250 0.750
In: 0.250 0.750 0.250
In: 0.750 0.250 0.250
In: 0.750 0.750 0.750
Ru: 0.000 0.000 0.500
Ru: 0.000 0.500 0.000
Ru: 0.250 0.250 0.250
Ru: 0.250 0.750 0.750
Ru: 0.500 0.000 0.000
Ru: 0.500 0.500 0.500
Ru: 0.750 0.250 0.750
Ru: 0.750 0.750 0.250


The following is a PBE calculation of a geometry-optimized ZnInRu structure, from Alexandria.

Computed properties:
symmetry = I4mm
uncorrected energy = -26.28 eV per cell
calculated formation energy = 49 meV/atom

Cell lengths 3.274, 3.274, 9.251 Å; angles 90.00, 90.00, 90.00 degrees
Sites, in units of the cell vectors:
Zn: 0.000 0.000 0.000
Zn: 0.500 0.500 0.500
In: 0.000 0.000 0.307
In: 0.500 0.500 0.807
Ru: 0.000 0.000 0.631
Ru: 0.500 0.500 0.131